# 1
The following is a DFT calculation (PBE) of an optimized crystal structure of ScTa3.

Calculated values
- total magnetization (μB/atom) = 0.00
- excess energy over the best structure of this formula in the dataset (eV/atom) = 0.112
- space group = Cmmm (65)
- formation enthalpy at 0 K (eV/f.u.) = 0.93
- crystal system = orthorhombic

Cell: 5.574 5.574 2.783 Å, 90.00 90.00 117.12°
Element x y z (fractional)
1 Ta 0.500 0.000 0.500
2 Ta 0.500 0.500 0.000
3 Ta 0.000 0.500 0.500
4 Sc 0.000 0.000 0.000

=====

# 2
The following is a DFT calculation (PBE) of an optimized crystal structure of ScTa.

Calculated values
- total magnetization (μB/atom) = 0.00
- excess energy over the best structure of this formula in the dataset (eV/atom) = 0.300
- space group = P6_3/mmc (194)
- formation enthalpy at 0 K (eV/f.u.) = 0.81
- crystal system = hexagonal

Cell: 5.041 5.041 7.700 Å, 90.00 90.00 120.00°
Element x y z (fractional)
1 Sc 0.000 0.000 0.250
2 Sc 0.333 0.667 0.750
3 Sc 0.000 0.000 0.750
4 Sc 0.667 0.333 0.250
5 Ta 0.333 0.667 0.415
6 Ta 0.667 0.333 0.585
7 Ta 0.667 0.333 0.915
8 Ta 0.333 0.667 0.085

=====

# 3
The following is a DFT calculation (PBE) of an optimized crystal structure of ScTa3.

Calculated values
- total magnetization (μB/atom) = 0.00
- excess energy over the best structure of this formula in the dataset (eV/atom) = 0.144
- space group = P6_3/mmc (194)
- formation enthalpy at 0 K (eV/f.u.) = 1.06
- crystal system = hexagonal

Cell: 6.073 6.073 4.951 Å, 90.00 90.00 120.00°
Element x y z (fractional)
1 Ta 0.311 0.156 0.250
2 Ta 0.156 0.844 0.750
3 Ta 0.156 0.311 0.750
4 Ta 0.689 0.844 0.750
5 Ta 0.844 0.156 0.250
6 Ta 0.844 0.689 0.250
7 Sc 0.333 0.667 0.250
8 Sc 0.667 0.333 0.750

=====

# 4
The following is a DFT calculation (PBE) of an optimized crystal structure of ScTa.

Calculated values
- total magnetization (μB/atom) = 0.00
- excess energy over the best structure of this formula in the dataset (eV/atom) = 0.355
- space group = P6_3/m (176)
- formation enthalpy at 0 K (eV/f.u.) = 0.92
- crystal system = hexagonal

Cell: 10.259 10.259 2.912 Å, 90.00 90.00 120.00°
Element x y z (fractional)
1 Ta 0.146 0.615 0.750
2 Ta 0.615 0.469 0.250
3 Ta 0.469 0.854 0.750
4 Ta 0.385 0.531 0.750
5 Ta 0.531 0.146 0.250
6 Ta 0.854 0.385 0.250
7 Sc 0.246 0.940 0.750
8 Sc 0.754 0.060 0.250
9 Sc 0.940 0.694 0.250
10 Sc 0.694 0.754 0.750
11 Sc 0.060 0.306 0.750
12 Sc 0.306 0.246 0.250

=====

# 5
The following is a DFT calculation (PBE) of an optimized crystal structure of Sc2Ta.

Calculated values
- total magnetization (μB/atom) = 0.00
- excess energy over the best structure of this formula in the dataset (eV/atom) = 0.090
- space group = P6/mmm (191)
- formation enthalpy at 0 K (eV/f.u.) = 0.55
- crystal system = hexagonal

Cell: 4.952 4.952 2.947 Å, 90.00 90.00 120.00°
Element x y z (fractional)
1 Ta 0.000 0.000 0.500
2 Sc 0.667 0.333 0.000
3 Sc 0.333 0.667 0.000

=====

# 6
The following is a DFT calculation (PBE) of an optimized crystal structure of ScTa3.

Calculated values
- total magnetization (μB/atom) = 0.00
- excess energy over the best structure of this formula in the dataset (eV/atom) = 0.153
- space group = I4/mmm (139)
- formation enthalpy at 0 K (eV/f.u.) = 1.10
- crystal system = tetragonal

Cell: 9.798 9.798 9.798 Å, 156.11 156.11 34.04°
Element x y z (fractional)
1 Ta 0.250 0.750 0.500
2 Ta 0.118 0.118 0.000
3 Ta 0.750 0.250 0.500
4 Ta 0.500 0.000 0.500
5 Ta 0.882 0.882 0.000
6 Ta 0.000 0.500 0.500
7 Sc 0.371 0.371 0.000
8 Sc 0.629 0.629 0.000

=====

# 7
The following is a DFT calculation (PBE) of an optimized crystal structure of Sc5Ta4.

Calculated values
- total magnetization (μB/atom) = 0.00
- excess energy over the best structure of this formula in the dataset (eV/atom) = 0.036
- space group = P6_3/mcm (193)
- formation enthalpy at 0 K (eV/f.u.) = 2.02
- crystal system = hexagonal

Cell: 8.444 8.444 6.001 Å, 90.00 90.00 60.00°
Element x y z (fractional)
1 Sc 0.667 0.667 0.500
2 Sc 0.000 0.648 0.750
3 Sc 0.333 0.333 0.500
4 Sc 0.000 0.352 0.250
5 Sc 0.648 0.000 0.250
6 Sc 0.352 0.000 0.750
7 Sc 0.648 0.352 0.750
8 Sc 0.352 0.648 0.250
9 Sc 0.667 0.667 0.000
10 Sc 0.333 0.333 0.000
11 Ta 0.301 0.000 0.250
12 Ta 0.000 0.301 0.750
13 Ta 0.301 0.699 0.750
14 Ta 0.699 0.301 0.250
15 Ta 0.000 0.000 0.500
16 Ta 0.699 0.000 0.750
17 Ta 0.000 0.699 0.250
18 Ta 0.000 0.000 0.000

=====

# 8
The following is a DFT calculation (PBE) of an optimized crystal structure of ScTa3.

Calculated values
- total magnetization (μB/atom) = 0.00
- excess energy over the best structure of this formula in the dataset (eV/atom) = 0.128
- space group = Pmmn (59)
- formation enthalpy at 0 K (eV/f.u.) = 1.00
- crystal system = orthorhombic

Cell: 4.858 5.581 5.842 Å, 90.00 90.00 90.00°
Element x y z (fractional)
1 Ta 0.000 0.861 0.240
2 Ta 0.500 0.139 0.260
3 Ta 0.000 0.299 0.500
4 Ta 0.000 0.861 0.760
5 Ta 0.500 0.139 0.740
6 Ta 0.500 0.701 0.000
7 Sc 0.500 0.621 0.500
8 Sc 0.000 0.379 0.000

=====

# 9
The following is a DFT calculation (PBE) of an optimized crystal structure of ScTa.

Calculated values
- total magnetization (μB/atom) = 0.00
- excess energy over the best structure of this formula in the dataset (eV/atom) = 0.815
- space group = P6_3/mmc (194)
- formation enthalpy at 0 K (eV/f.u.) = 1.85
- crystal system = hexagonal

Cell: 4.803 4.803 4.994 Å, 90.00 90.00 120.00°
Element x y z (fractional)
1 Ta 0.000 0.000 0.500
2 Ta 0.000 0.000 0.000
3 Sc 0.333 0.667 0.250
4 Sc 0.667 0.333 0.750

=====

# 10
The following is a DFT calculation (PBE) of an optimized crystal structure of ScTa.

Calculated values
- total magnetization (μB/atom) = 0.00
- excess energy over the best structure of this formula in the dataset (eV/atom) = 0.120
- space group = R-3m (166)
- formation enthalpy at 0 K (eV/f.u.) = 0.46
- crystal system = trigonal

Cell: 3.055 10.429 3.055 Å, 81.58 120.00 98.42°
Element x y z (fractional)
1 Sc 0.244 0.733 0.756
2 Sc 0.006 0.017 0.994
3 Ta 0.752 0.256 0.248
4 Ta 0.498 0.494 0.502

=====

# 11
The following is a DFT calculation (PBE) of an optimized crystal structure of ScTa3.

Calculated values
- total magnetization (μB/atom) = 0.00
- excess energy over the best structure of this formula in the dataset (eV/atom) = 0.118
- space group = Pm-3n (223)
- formation enthalpy at 0 K (eV/f.u.) = 0.96
- crystal system = cubic

Cell: 5.351 5.351 5.351 Å, 90.00 90.00 90.00°
Element x y z (fractional)
1 Ta 0.000 0.750 0.500
2 Ta 0.750 0.500 0.000
3 Ta 0.500 0.000 0.750
4 Ta 0.000 0.250 0.500
5 Ta 0.250 0.500 0.000
6 Ta 0.500 0.000 0.250
7 Sc 0.000 0.000 0.000
8 Sc 0.500 0.500 0.500

=====

# 12
The following is a DFT calculation (PBE) of an optimized crystal structure of Sc2Ta3.

Calculated values
- total magnetization (μB/atom) = 0.00
- space group = R-3m (166)
- formation enthalpy at 0 K (eV/f.u.) = 1.25
- crystal system = trigonal

Cell: 12.751 12.751 12.751 Å, 13.59 13.59 13.59°
Element x y z (fractional)
1 Sc 0.599 0.599 0.599
2 Sc 0.401 0.401 0.401
3 Ta 0.000 0.000 0.000
4 Ta 0.199 0.199 0.199
5 Ta 0.801 0.801 0.801

=====

# 13
The following is a DFT calculation (PBE) of an optimized crystal structure of ScTa3.

Calculated values
- total magnetization (μB/atom) = 0.00
- excess energy over the best structure of this formula in the dataset (eV/atom) = 0.150
- space group = P-6m2 (187)
- formation enthalpy at 0 K (eV/f.u.) = 1.09
- crystal system = hexagonal

Cell: 2.961 2.961 10.220 Å, 90.00 90.00 120.00°
Element x y z (fractional)
1 Ta 0.000 0.000 0.500
2 Ta 0.333 0.667 0.252
3 Ta 0.333 0.667 0.748
4 Sc 0.000 0.000 0.000

=====

# 14
The following is a DFT calculation (PBE) of an optimized crystal structure of Sc3Ta5.

Calculated values
- total magnetization (μB/atom) = 0.00
- space group = P2_1/m (11)
- formation enthalpy at 0 K (eV/f.u.) = 3.63
- crystal system = monoclinic

Cell: 8.264 9.670 5.334 Å, 90.00 90.00 51.20°
Element x y z (fractional)
1 Ta 0.751 0.039 0.750
2 Ta 0.940 0.212 0.750
3 Ta 0.369 0.311 0.005
4 Ta 0.369 0.311 0.495
5 Ta 0.249 0.961 0.250
6 Ta 0.814 0.146 0.250
7 Ta 0.060 0.788 0.250
8 Ta 0.186 0.854 0.750
9 Ta 0.632 0.689 0.995
10 Ta 0.632 0.689 0.505
11 Sc 0.486 0.533 0.250
12 Sc 0.630 0.959 0.250
13 Sc 0.999 0.358 0.250
14 Sc 0.369 0.041 0.750
15 Sc 0.515 0.467 0.750
16 Sc 0.001 0.642 0.750

=====

# 15
The following is a DFT calculation (PBE) of an optimized crystal structure of Sc5Ta3.

Calculated values
- total magnetization (μB/atom) = 0.00
- excess energy over the best structure of this formula in the dataset (eV/atom) = 0.165
- space group = P6_3/mcm (193)
- formation enthalpy at 0 K (eV/f.u.) = 2.88
- crystal system = hexagonal

Cell: 8.506 8.506 5.617 Å, 90.00 90.00 60.00°
Element x y z (fractional)
1 Sc 0.667 0.667 0.500
2 Sc 0.000 0.244 0.750
3 Sc 0.756 0.244 0.250
4 Sc 0.333 0.333 0.500
5 Sc 0.333 0.333 0.000
6 Sc 0.244 0.000 0.250
7 Sc 0.000 0.756 0.250
8 Sc 0.756 0.000 0.750
9 Sc 0.667 0.667 0.000
10 Sc 0.244 0.756 0.750
11 Ta 0.000 0.584 0.750
12 Ta 0.416 0.584 0.250
13 Ta 0.584 0.416 0.750
14 Ta 0.000 0.416 0.250
15 Ta 0.416 0.000 0.750
16 Ta 0.584 0.000 0.250

=====

# 16
The following is a DFT calculation (PBE) of an optimized crystal structure of ScTa3.

Calculated values
- total magnetization (μB/atom) = 0.00
- excess energy over the best structure of this formula in the dataset (eV/atom) = 0.079
- space group = Immm (71)
- formation enthalpy at 0 K (eV/f.u.) = 0.80
- crystal system = orthorhombic

Cell: 4.826 5.538 3.391 Å, 72.17 90.00 115.83°
Element x y z (fractional)
1 Sc 0.000 0.000 0.000
2 Ta 0.737 0.474 0.763
3 Ta 0.263 0.526 0.237
4 Ta 0.500 0.000 0.500

=====

# 17
The following is a DFT calculation (PBE) of an optimized crystal structure of Sc3Ta2.

Calculated values
- total magnetization (μB/atom) = 0.00
- excess energy over the best structure of this formula in the dataset (eV/atom) = 0.287
- space group = P-3m1 (164)
- formation enthalpy at 0 K (eV/f.u.) = 2.44
- crystal system = trigonal

Cell: 4.749 4.749 6.152 Å, 90.00 90.00 120.00°
Element x y z (fractional)
1 Sc 0.333 0.667 0.353
2 Sc 0.000 0.000 0.000
3 Sc 0.667 0.333 0.647
4 Ta 0.333 0.667 0.899
5 Ta 0.667 0.333 0.101

=====

# 18
The following is a DFT calculation (PBE) of an optimized crystal structure of Sc3Ta4.

Calculated values
- total magnetization (μB/atom) = 0.00
- excess energy over the best structure of this formula in the dataset (eV/atom) = 0.000
- space group = I4/mmm (139)
- formation enthalpy at 0 K (eV/f.u.) = 0.91
- crystal system = tetragonal

Cell: 12.394 12.394 12.394 Å, 163.86 163.86 22.90°
Element x y z (fractional)
1 Sc 0.297 0.297 0.000
2 Sc 0.000 0.000 0.000
3 Sc 0.703 0.703 0.000
4 Ta 0.129 0.129 0.000
5 Ta 0.578 0.578 0.000
6 Ta 0.422 0.422 0.000
7 Ta 0.871 0.871 0.000

=====

# 19
The following is a DFT calculation (PBE) of an optimized crystal structure of Sc2Ta.

Calculated values
- total magnetization (μB/atom) = 0.00
- excess energy over the best structure of this formula in the dataset (eV/atom) = 0.050
- space group = Cmcm (63)
- formation enthalpy at 0 K (eV/f.u.) = 0.43
- crystal system = orthorhombic

Cell: 8.347 8.347 5.009 Å, 90.00 90.00 158.57°
Element x y z (fractional)
1 Sc 0.947 0.053 0.250
2 Sc 0.723 0.277 0.750
3 Sc 0.277 0.723 0.250
4 Sc 0.053 0.947 0.750
5 Ta 0.386 0.614 0.750
6 Ta 0.614 0.386 0.250

=====

# 20
The following is a DFT calculation (PBE) of an optimized crystal structure of Sc2Ta.

Calculated values
- total magnetization (μB/atom) = 0.00
- excess energy over the best structure of this formula in the dataset (eV/atom) = 0.058
- space group = Pm (6)
- formation enthalpy at 0 K (eV/f.u.) = 0.45
- crystal system = monoclinic

Cell: 5.665 3.053 7.651 Å, 90.00 101.96 90.00°
Element x y z (fractional)
1 Sc 0.377 0.000 0.941
2 Sc 0.278 0.500 0.281
3 Sc 0.061 0.500 0.599
4 Sc 0.859 0.500 0.945
5 Ta 0.750 0.000 0.284
6 Ta 0.601 0.000 0.607